<i>
Here is a geometry-optimized DyGaSiIr2 structure from OQMD. Energies are from GGA-PBE.

## Properties
- Volume: 86.4 Å³/cell

Cell and atoms, written as POSCAR:
```
DyGaSiIr2
1.0
-2.073 2.073 5.024
2.073 -2.073 5.024
2.073 2.073 -5.024
Ga Ir Si Dy
1 2 1 1
Direct
0.384 0.384 0.000
0.243 0.743 0.500
0.743 0.243 0.500
0.629 0.629 0.000
0.001 0.001 0.000
```

***

<ii>
Here is a geometry-optimized DyGaSiIr2 structure from OQMD. Energies are from GGA-PBE.

## Properties
- Volume: 174.1 Å³/cell

Cell and atoms, written as POSCAR:
```
DyGaSiIr2
1.0
4.100 0.000 0.000
0.000 4.100 0.000
0.000 0.000 10.357
Ga Si Ir Dy
2 2 4 2
Direct
0.000 0.000 0.500
0.500 0.500 0.500
0.500 0.000 0.124
0.000 0.500 0.876
0.000 0.000 0.000
0.500 0.500 0.000
0.000 0.500 0.648
0.500 0.000 0.352
0.500 0.000 0.754
0.000 0.500 0.246
```

***

It is <i> that is the least stable of them.

***

<i>
Here is a geometry-optimized TbDyGa2Ir4 structure from OQMD. Energies are from GGA-PBE.

## Properties
- Volume: 137.0 Å³/cell

Cell and atoms, written as POSCAR:
```
TbDyGa2Ir4
1.0
-0.927 1.594 4.206
-1.266 -4.213 1.318
6.105 -1.264 1.825
Ir Tb Ga Dy
4 1 2 1
Direct
0.000 0.500 0.751
0.500 0.000 0.751
0.000 0.500 0.249
0.500 0.000 0.249
0.500 0.500 0.500
0.500 0.500 0.000
0.000 0.000 0.500
0.000 0.000 0.000
```

***

<ii>
Here is a geometry-optimized TbDyGa2Ir4 structure from OQMD. Energies are from GGA-PBE.

## Properties
- Volume: 147.0 Å³/cell

Cell and atoms, written as POSCAR:
```
TbDyGa2Ir4
1.0
4.337 0.000 0.000
-2.169 3.756 0.000
0.000 0.000 9.024
Ga Dy Ir Tb
2 1 4 1
Direct
0.667 0.333 0.250
0.667 0.333 0.750
0.000 0.000 0.500
0.000 0.000 0.834
0.333 0.667 0.664
0.000 0.000 0.166
0.333 0.667 0.336
0.333 0.667 0.000
```

***

It is <i> that is the least stable of them.

***

<i>
Here is a geometry-optimized DyYGa2Ir4 structure from OQMD. Energies are from GGA-PBE.

## Properties
- Volume: 136.6 Å³/cell

Cell and atoms, written as POSCAR:
```
DyYGa2Ir4
1.0
4.588 0.000 0.000
0.000 4.588 0.000
0.000 0.000 6.489
Ir Ga Y Dy
4 2 1 1
Direct
0.500 0.000 0.250
0.000 0.500 0.750
0.500 0.000 0.750
0.000 0.500 0.250
0.000 0.000 0.500
0.500 0.500 0.000
0.500 0.500 0.500
0.000 0.000 0.000
```

***

<ii>
Here is a geometry-optimized DyYGa2Ir4 structure from OQMD. Energies are from GGA-PBE.

## Properties
- Volume: 146.8 Å³/cell

Cell and atoms, written as POSCAR:
```
DyYGa2Ir4
1.0
4.340 0.000 0.000
-2.170 3.759 0.000
0.000 0.000 9.000
Y Ir Dy Ga
1 4 1 2
Direct
0.667 0.333 0.500
0.000 0.000 0.330
0.000 0.000 0.670
0.667 0.333 0.834
0.667 0.333 0.166
0.000 0.000 0.000
0.333 0.667 0.250
0.333 0.667 0.750
```

***

It is <i> that is the least stable of them.

***

<i>
Here is a geometry-optimized NaDyGa structure from OQMD. Energies are from GGA-PBE.

## Properties
- Volume: 86.8 Å³/cell

Cell and atoms, written as POSCAR:
```
NaDyGa
1.0
0.000 3.514 3.514
3.514 0.000 3.514
3.514 3.514 0.000
Ga Na Dy
1 1 1
Direct
0.250 0.250 0.250
0.750 0.750 0.750
0.000 0.000 0.000
```

***

<ii>
Here is a geometry-optimized NaDyGa structure from OQMD. Energies are from GGA-PBE.

## Properties
- Volume: 84.7 Å³/cell

Cell and atoms, written as POSCAR:
```
NaDyGa
1.0
0.000 3.486 3.486
3.486 0.000 3.486
3.486 3.486 0.000
Dy Na Ga
1 1 1
Direct
0.250 0.250 0.250
0.750 0.750 0.750
0.000 0.000 0.000
```

***

It is <i> that is the least stable of them.

***

<i>
Here is a geometry-optimized DyGaNiPd structure from OQMD. Energies are from GGA-PBE.

## Properties
- Volume: 141.3 Å³/cell

Cell and atoms, written as POSCAR:
```
DyGaNiPd
1.0
-3.508 2.052 1.340
2.587 -1.892 2.836
4.694 7.536 0.747
Ni Pd Ga Dy
2 2 2 2
Direct
0.667 0.333 0.929
0.333 0.667 0.429
0.667 0.333 0.581
0.333 0.667 0.081
0.000 0.000 0.988
0.000 0.000 0.488
0.667 0.333 0.252
0.333 0.667 0.752
```

***

<ii>
Here is a geometry-optimized DyGaNiPd structure from OQMD. Energies are from GGA-PBE.

## Properties
- Volume: 141.6 Å³/cell

Cell and atoms, written as POSCAR:
```
DyGaNiPd
1.0
-1.335 -2.651 -3.083
1.873 -1.573 3.512
-7.967 -0.609 3.974
Ga Dy Ni Pd
2 2 2 2
Direct
0.000 0.000 0.000
0.000 0.000 0.500
0.333 0.667 0.237
0.667 0.333 0.763
0.667 0.333 0.067
0.333 0.667 0.933
0.333 0.667 0.587
0.667 0.333 0.413
```

***

It is <i> that is the least stable of them.

***

<i>
Here is a geometry-optimized DyGaNiPt structure from OQMD. Energies are from GGA-PBE.

## Properties
- Volume: 142.2 Å³/cell

Cell and atoms, written as POSCAR:
```
DyGaNiPt
1.0
4.290 0.000 0.000
-2.145 3.715 0.000
0.000 0.000 8.920
Dy Ga Pt Ni
2 2 2 2
Direct
0.667 0.333 0.250
0.333 0.667 0.750
0.000 0.000 0.994
0.000 0.000 0.494
0.667 0.333 0.580
0.333 0.667 0.080
0.333 0.667 0.426
0.667 0.333 0.926
```

***

<ii>
Here is a geometry-optimized DyGaNiPt structure from OQMD. Energies are from GGA-PBE.

## Properties
- Volume: 141.9 Å³/cell

Cell and atoms, written as POSCAR:
```
DyGaNiPt
1.0
-0.502 0.403 -4.230
2.234 -3.287 1.585
-7.485 -4.883 0.423
Dy Ni Pt Ga
2 2 2 2
Direct
0.333 0.667 0.240
0.667 0.333 0.760
0.333 0.667 0.934
0.667 0.333 0.066
0.333 0.667 0.594
0.667 0.333 0.406
0.000 0.000 0.500
0.000 0.000 0.000
```

***

It is <ii> that is the least stable of them.

***

<i>
Here is a geometry-optimized Dy2Ga2O5 structure from OQMD. Energies are from GGA-PBE.

## Properties
- Volume: 132.8 Å³/cell

Cell and atoms, written as POSCAR:
```
Dy2Ga2O5
1.0
-0.403 8.611 -0.490
-3.247 -0.276 -2.180
-2.190 0.082 3.252
Ga Dy O
2 2 5
Direct
0.000 0.000 0.000
0.500 0.000 0.000
0.246 0.500 0.500
0.754 0.500 0.500
0.500 0.500 0.500
0.144 0.000 0.500
0.144 0.500 0.000
0.856 0.000 0.500
0.856 0.500 0.000
```

***

<ii>
Here is a geometry-optimized Dy2Ga2O5 structure from OQMD. Energies are from GGA-PBE.

## Properties
- Volume: 102.7 Å³/cell

Cell and atoms, written as POSCAR:
```
Dy2Ga2O5
1.0
-5.353 0.465 -4.260
1.706 -2.496 -2.415
-1.715 -2.945 1.833
O Dy Ga
5 2 2
Direct
0.764 0.500 0.000
0.500 0.500 0.500
0.764 0.000 0.500
0.236 0.000 0.500
0.236 0.500 0.000
0.500 0.000 0.000
0.000 0.000 0.000
0.207 0.500 0.500
0.793 0.500 0.500
```

***

It is <i> that is the least stable of them.

***

<i>
Here is a geometry-optimized DyGaPdPt structure from OQMD. Energies are from GGA-PBE.

## Properties
- Volume: 151.6 Å³/cell

Cell and atoms, written as POSCAR:
```
DyGaPdPt
1.0
-3.933 -0.342 1.914
1.074 -2.683 -3.301
3.416 -5.961 5.956
Pd Dy Ga Pt
2 2 2 2
Direct
0.333 0.667 0.416
0.667 0.333 0.916
0.667 0.333 0.248
0.333 0.667 0.748
0.000 0.000 0.004
0.000 0.000 0.504
0.333 0.667 0.083
0.667 0.333 0.583
```

***

<ii>
Here is a geometry-optimized DyGaPdPt structure from OQMD. Energies are from GGA-PBE.

## Properties
- Volume: 151.6 Å³/cell

Cell and atoms, written as POSCAR:
```
DyGaPdPt
1.0
-2.335 1.093 -3.554
2.474 -3.627 -0.029
-7.031 -4.821 3.138
Ga Dy Pd Pt
2 2 2 2
Direct
0.333 0.667 0.753
0.333 0.667 0.247
0.000 0.000 0.000
0.667 0.333 0.500
0.000 0.000 0.335
0.000 0.000 0.665
0.667 0.333 0.828
0.667 0.333 0.172
```

***

It is <ii> that is the least stable of them.

***

<i>
Here is a geometry-optimized DyYGa2Pd4 structure from OQMD. Energies are from GGA-PBE.

## Properties
- Volume: 145.9 Å³/cell

Cell and atoms, written as POSCAR:
```
DyYGa2Pd4
1.0
-1.637 -2.351 3.713
4.324 -1.571 0.911
1.114 5.294 3.843
Pd Ga Y Dy
4 2 1 1
Direct
0.500 0.000 0.751
0.500 0.000 0.249
0.000 0.500 0.249
0.000 0.500 0.751
0.000 0.000 0.500
0.500 0.500 0.000
0.500 0.500 0.500
0.000 0.000 0.000
```

***

<ii>
Here is a geometry-optimized DyYGa2Pd4 structure from OQMD. Energies are from GGA-PBE.

## Properties
- Volume: 152.4 Å³/cell

Cell and atoms, written as POSCAR:
```
DyYGa2Pd4
1.0
4.403 0.000 0.000
-2.201 3.813 0.000
0.000 0.000 9.075
Pd Ga Y Dy
4 2 1 1
Direct
0.000 0.000 0.329
0.667 0.333 0.168
0.667 0.333 0.832
0.000 0.000 0.671
0.333 0.667 0.750
0.333 0.667 0.250
0.667 0.333 0.500
0.000 0.000 0.000
```

***

It is <i> that is the least stable of them.

***

<i>
Here is a geometry-optimized TbDyGa2Pt4 structure from OQMD. Energies are from GGA-PBE.

## Properties
- Volume: 152.3 Å³/cell

Cell and atoms, written as POSCAR:
```
TbDyGa2Pt4
1.0
4.391 0.000 0.000
-2.195 3.802 0.000
0.000 0.000 9.124
Pt Ga Dy Tb
4 2 1 1
Direct
0.333 0.667 0.664
0.333 0.667 0.336
0.000 0.000 0.834
0.000 0.000 0.166
0.667 0.333 0.750
0.667 0.333 0.250
0.000 0.000 0.500
0.333 0.667 0.000
```

***

<ii>
Here is a geometry-optimized TbDyGa2Pt4 structure from OQMD. Energies are from GGA-PBE.

## Properties
- Volume: 147.5 Å³/cell

Cell and atoms, written as POSCAR:
```
TbDyGa2Pt4
1.0
-4.408 1.153 1.182
-0.749 -4.399 1.496
2.081 1.716 6.086
Pt Ga Dy Tb
4 2 1 1
Direct
0.000 0.500 0.751
0.500 0.000 0.751
0.500 0.000 0.249
0.000 0.500 0.249
0.000 0.000 0.500
0.500 0.500 0.000
0.000 0.000 0.000
0.500 0.500 0.500
```

***

It is <ii> that is the least stable of them.

***

<i>
Here is a geometry-optimized DyGaTe structure from OQMD. Energies are from GGA-PBE.

## Properties
- Volume: 89.9 Å³/cell

Cell and atoms, written as POSCAR:
```
DyGaTe
1.0
0.000 3.555 3.555
3.555 0.000 3.555
3.555 3.555 0.000
Ga Dy Te
1 1 1
Direct
0.750 0.750 0.750
0.250 0.250 0.250
0.000 0.000 0.000
```

***

<ii>
Here is a geometry-optimized DyGaTe structure from OQMD. Energies are from GGA-PBE.

## Properties
- Volume: 89.9 Å³/cell

Cell and atoms, written as POSCAR:
```
DyGaTe
1.0
-1.517 2.078 4.321
-4.910 0.533 0.946
-2.206 -2.838 3.517
Dy Ga Te
1 1 1
Direct
0.000 0.000 0.000
0.250 0.250 0.250
0.750 0.750 0.750
```

***

It is <ii> that is the least stable of them.

***

<i>
Here is a geometry-optimized DyTlGa structure from OQMD. Energies are from GGA-PBE.

## Properties
- Volume: 78.8 Å³/cell

Cell and atoms, written as POSCAR:
```
DyTlGa
1.0
0.000 3.403 3.403
3.403 0.000 3.403
3.403 3.403 0.000
Dy Ga Tl
1 1 1
Direct
0.250 0.250 0.250
0.000 0.000 0.000
0.750 0.750 0.750
```

***

<ii>
Here is a geometry-optimized DyTlGa structure from OQMD. Energies are from GGA-PBE.

## Properties
- Volume: 86.2 Å³/cell

Cell and atoms, written as POSCAR:
```
DyTlGa
1.0
1.399 1.755 4.421
-2.276 3.961 1.928
-2.978 -0.521 3.929
Dy Tl Ga
1 1 1
Direct
0.000 0.000 0.000
0.750 0.750 0.750
0.250 0.250 0.250
```

***

It is <ii> that is the least stable of them.

***

<i>
Here is a geometry-optimized DyTmGa2 structure from OQMD. Energies are from GGA-PBE.

## Properties
- Volume: 184.5 Å³/cell

Cell and atoms, written as POSCAR:
```
DyTmGa2
1.0
5.254 0.000 0.000
0.000 5.802 3.027
0.000 -5.802 3.027
Tm Ga Dy
2 4 2
Direct
0.250 0.850 0.708
0.750 0.708 0.850
0.250 0.804 0.150
0.750 0.197 0.333
0.750 0.150 0.804
0.250 0.333 0.197
0.250 0.298 0.659
0.750 0.659 0.298
```

***

<ii>
Here is a geometry-optimized DyTmGa2 structure from OQMD. Energies are from GGA-PBE.

## Properties
- Volume: 93.7 Å³/cell

Cell and atoms, written as POSCAR:
```
DyTmGa2
1.0
-1.161 2.703 -3.161
2.338 -2.013 -2.580
-3.562 -4.576 0.343
Ga Tm Dy
2 1 1
Direct
0.005 0.000 0.548
0.159 0.500 0.859
0.444 0.500 0.427
0.722 0.000 0.984
```

***

It is <i> that is the least stable of them.